Entry from the Alexandria database: crystalline DyNi2SnO6 at its relaxed geometry (PBE with a Hubbard U).

a = 5.3237 Å, b = 5.3250 Å, c = 5.6396 Å
α = 118.15°, β = 90.00°, γ = 119.91°
Closest atoms and distances in Å follow each position.
Element x y z (fractional)
Dy 0.0000 0.0000 0.0000  6 O 2.21-2.37
Ni 0.2125 0.4250 0.6372  6 O 2.00-2.09
Ni 0.7175 0.4353 0.1528  6 O 2.05-2.11
Sn 0.5125 0.0245 0.5371  6 O 2.08-2.14
O 0.1065 0.5414 0.3639  2 Ni 2.06-2.08, 1 Sn 2.08
O 0.3536 0.2823 0.8492  2 Ni 2.00-2.11, 1 Sn 2.14, 1 Dy 2.22
O 0.4347 0.2571 0.3634  2 Ni 2.05-2.08, 1 Sn 2.08
O 0.5677 0.9223 0.8502  2 Ni 2.01-2.11, 1 Sn 2.14, 1 Dy 2.21
O 0.8218 0.9280 0.3629  2 Ni 2.05-2.09, 1 Sn 2.08
O 0.9279 0.4954 0.8494  2 Ni 2.00-2.11, 1 Sn 2.14, 1 Dy 2.21

Values from the calculation:
DFT total energy ... -6.10 eV per atom
Density of states at the Fermi level ... 0.300 states/eV per atom